(1)
PBE BiSeF2, optimized geometry; space group = No. 166; total DFT energy (no corrections) = -3.54 eV per atom; size of the total moment = 0.93 μB per formula unit; volume = 20.56 Å³/atom; uncorrected formation energy = -17.6 kcal/mol of atoms
1.0
-6.9366 5.5191 2.3034
-7.0237 3.4142 4.7847
-4.9806 5.9467 4.8697
Bi Se F
1 1 2
Cartesian
0.0000 0.0000 0.0000 Bi
-9.4704 7.4400 5.9789 Se
-17.4027 13.6716 10.9867 F
-1.5382 1.2084 0.9711 F


(2)
PBE SrLaEuY, optimized geometry; ΔH_f (0 K) = 0.178 eV/atom; space group = No. 216; total DFT energy (no corrections) = -5.66 eV per atom; size of the total moment = 7.72 μB per formula unit; volume = 40.02 Å³/atom
1.0
-4.7865 -2.5302 2.7992
-4.2357 -2.9318 -3.2575
-0.4630 -6.0666 0.3602
Eu Sr La Y
1 1 1 1
Cartesian
-2.3713 -2.8822 -0.0245 Eu
-4.7426 -5.7643 -0.0490 Sr
0.0000 0.0000 0.0000 La
-7.1139 -8.6465 -0.0735 Y


(3)
PBE Cd3InHg7, optimized geometry; ΔH_f (0 K) = 0.039 eV/atom; space group = No. 8; total DFT energy (no corrections) = -0.65 eV per atom; size of the total moment = 0.00 μB per formula unit; volume = 26.58 Å³/atom
1.0
5.0559 1.1736 -7.3178
-0.4057 5.1745 -7.3178
-1.3628 -1.8603 15.2652
Hg Cd In
7 3 1
Cartesian
-0.5726 -0.7816 10.5465 Hg
2.5042 0.7638 5.5334 Hg
1.8648 2.5456 -1.8000 Hg
0.8536 4.2826 -4.2686 Hg
3.8259 2.1053 -4.2686 Hg
-0.0269 2.6179 5.5334 Hg
-0.4829 -0.6592 5.8169 Hg
2.6672 0.9924 0.9119 Cd
0.1419 2.8423 0.9119 Cd
0.7987 1.0903 8.2965 Cd
3.0600 4.1772 0.8194 In


(4)
PBE BC2, optimized geometry; ΔH_f (0 K) = 0.350 eV/atom; space group = No. 8; total DFT energy (no corrections) = -8.03 eV per atom; size of the total moment = 0.00 μB per formula unit; volume = 6.59 Å³/atom
1.0
-4.2719 0.3988 4.2460
-2.4790 -1.0754 5.3977
2.8457 4.3068 1.0828
C B
8 4
Cartesian
0.8525 3.5981 3.2787 C
-2.1144 3.1596 7.3362 C
-4.1341 2.5051 9.6428 C
-0.7066 1.4159 2.9125 C
-2.3898 2.0068 6.2893 C
-1.7555 0.4236 3.2752 C
-0.0598 -0.0019 0.0907 C
-3.8174 -0.2115 5.6722 C
-3.5219 0.9771 6.7337 B
-0.3433 2.6244 3.8940 B
1.5005 2.4606 0.8138 B
-5.6997 -0.0685 8.7856 B


(5)
PBE Y2MnAu, optimized geometry; ΔH_f (0 K) = -0.321 eV/atom; space group = No. 123; total DFT energy (no corrections) = -6.66 eV per atom; size of the total moment = 3.24 μB per formula unit; volume = 22.96 Å³/atom
1.0
3.5971 0.0000 0.0000
0.0000 3.5917 -0.0001
0.0000 3.5955 7.1095
Au Y Mn
1 2 1
Cartesian
1.7986 1.7968 1.7774 Au
0.0000 3.5936 3.5842 Y
0.0000 3.5955 7.0800 Y
1.7986 5.3904 5.3321 Mn


(6)
PBE NaFe2Si2, optimized geometry; space group = No. 127; total DFT energy (no corrections) = -5.96 eV per atom; size of the total moment = 1.66 μB per formula unit; volume = 12.80 Å³/atom; uncorrected formation energy = -3.3 kcal/mol of atoms
1.0
7.1397 0.0000 0.0000
0.0000 7.1397 0.0000
0.0000 0.0000 2.5114
Fe Na Si
4 2 4
Cartesian
6.1526 4.5571 0.0000 Fe
0.9872 2.5827 0.0000 Fe
2.5827 6.1526 0.0000 Fe
4.5571 0.9872 0.0000 Fe
0.0000 0.0000 0.0000 Na
3.5699 3.5699 0.0000 Na
2.4805 1.0894 1.2557 Si
1.0894 4.6593 1.2557 Si
4.6593 6.0503 1.2557 Si
6.0503 2.4805 1.2557 Si


(7)
PBE Rb2YHgBr6, optimized geometry; space group = No. 59; total DFT energy (no corrections) = -3.32 eV per atom; size of the total moment = 0.00 μB per formula unit; volume = 40.54 Å³/atom; uncorrected formation energy = -33.4 kcal/mol of atoms
1.0
8.0552 0.0000 0.0000
0.0000 8.6254 0.0000
0.0000 0.0000 11.6687
Hg Y Rb Br
2 2 4 12
Cartesian
0.0000 6.1669 5.8344 Hg
4.0276 2.4585 0.0000 Hg
4.0276 1.9305 5.8344 Y
0.0000 6.6949 0.0000 Y
4.0276 6.9090 9.1483 Rb
0.0000 1.7165 8.3548 Rb
0.0000 1.7165 3.3139 Rb
4.0276 6.9090 2.5204 Rb
5.9786 8.5257 5.8344 Br
6.1042 0.0997 0.0000 Br
1.9510 0.0997 0.0000 Br
5.9866 4.8230 0.0000 Br
2.0766 8.5257 5.8344 Br
2.0686 4.8230 0.0000 Br
0.0000 6.7691 2.8030 Br
0.0000 6.7691 8.8657 Br
6.0962 3.8025 5.8344 Br
4.0276 1.8563 8.6374 Br
4.0276 1.8563 3.0314 Br
1.9590 3.8025 5.8344 Br


(8)
PBE Mg2CdAu5, optimized geometry; ΔH_f (0 K) = -0.383 eV/atom; space group = No. 55; total DFT energy (no corrections) = -2.94 eV per atom; size of the total moment = 0.00 μB per formula unit; volume = 18.30 Å³/atom
1.0
-0.7940 4.1177 0.9929
-4.9416 -1.5870 2.6299
5.7774 -1.3127 10.0636
Au Cd Mg
10 2 4
Cartesian
-0.8595 -1.0679 3.7415 Au
0.8477 -0.3347 11.4180 Au
-3.3299 -1.8615 5.0572 Au
-0.8058 1.5527 2.2685 Au
1.6953 -1.8318 8.9520 Au
-1.7550 0.4135 6.2340 Au
-2.4708 -0.7935 1.3150 Au
1.7968 0.8045 7.4525 Au
4.1657 -1.0382 7.6363 Au
2.8887 -0.6564 5.0318 Au
0.4179 -1.4499 6.3468 Cd
0.0000 0.0000 0.0000 Cd
-3.1407 0.7512 3.7253 Mg
3.1825 0.4668 9.9612 Mg
0.6634 1.2418 4.7327 Mg
-0.6215 -0.0238 8.9537 Mg